Material: TcCl2
Method: DFT, PBE
State: optimized geometry

POSCAR file:
```
TcCl2
1.0
-5.153 -5.643 2.123
-2.663 -6.601 3.500
-1.872 2.218 4.928
Tc Cl
2 4
direct
0.082 0.082 0.560
0.640 0.640 0.162
0.030 0.030 0.029
0.692 0.692 0.693
0.258 0.258 0.167
0.464 0.464 0.555
```

DOS at the Fermi energy, states/eV/f.u.: 0.4
E above lowest polymorph, meV per atom: 260
DFT total energy, eV/atom: -4.983
Formation energy without anion corrections, meV per atom: -297
SG: C2/m, No. 12


Material: BaGa2TcP
Method: DFT, PBE
State: optimized geometry

POSCAR file:
```
BaGa2TcP
1.0
-2.074 2.626 -3.624
-3.250 -3.630 -0.771
-2.924 1.960 3.094
P Ba Ga Tc
1 1 2 1
direct
0.000 0.000 0.500
0.500 0.500 0.500
0.000 0.500 0.000
0.500 0.000 0.000
0.000 0.000 0.000
```

DOS at the Fermi energy, states/eV/f.u.: 2.6
Formation enthalpy at 0 K, eV/atom: -0.365
DFT total energy, eV/atom: -5.116
SG: P4/mmm, No. 123


Material: K2Li2NpO6
Method: DFT, PBE
State: optimized geometry

POSCAR file:
```
K2Li2NpO6
1.0
5.461 0.000 0.000
-2.731 4.729 0.000
0.000 0.000 6.101
K Li Np O
2 2 1 6
direct
0.333 0.667 0.500
0.667 0.333 0.500
0.333 0.667 0.000
0.667 0.333 0.000
0.000 0.000 0.000
0.309 0.309 0.823
0.000 0.691 0.823
0.691 0.000 0.823
0.691 0.691 0.177
0.000 0.309 0.177
0.309 0.000 0.177
```

DOS at the Fermi energy, states/eV/f.u.: 9.8
DFT total energy, eV/atom: -6.477
Formation energy without anion corrections, meV per atom: -2049
SG: P-31m, No. 162